No. 1
## Cu2HO4 (PBE)

Data for crystalline Cu2HO4 at its relaxed geometry.

## Properties
Total DFT energy (no corrections) in eV/atom: -4.30

```
data_Cu2HO4
_chemical_formula_sum 'Cu4 H2 O8'
_space_group_name_H-M_alt 'I 4/m m m'
_space_group_IT_number 139
_space_group_name_Hall '-I 4 2'
_cell_length_a 2.807
_cell_length_b 2.807
_cell_length_c 16.439
_cell_angle_alpha 90.00
_cell_angle_beta 90.00
_cell_angle_gamma 90.00
loop_
_atom_site_label
_atom_site_fract_x
_atom_site_fract_y
_atom_site_fract_z
Cu1 0.000 0.000 0.168
H1 0.000 0.000 0.500
O1 0.000 0.000 0.320
O2 0.000 0.500 0.000
```



No. 2
## CuHO2 (PBE)

Data for crystalline CuHO2 at its relaxed geometry.

## Properties
Total DFT energy (no corrections) in eV/atom: -4.98

```
data_CuHO2
_chemical_formula_sum 'Cu2 H2 O4'
_space_group_name_H-M_alt 'P 1 21/m 1'
_space_group_IT_number 11
_cell_length_a 4.454
_cell_length_b 2.779
_cell_length_c 6.500
_cell_angle_alpha 90.00
_cell_angle_beta 98.21
_cell_angle_gamma 90.00
loop_
_space_group_symop_operation_xyz
'x,y,z'
'-x,-y,-z'
'-x,y+1/2,-z'
'x,-y+1/2,z'
loop_
_atom_site_label
_atom_site_fract_x
_atom_site_fract_y
_atom_site_fract_z
Cu1 0.003 0.250 0.242
H1 0.466 0.250 0.746
O1 0.229 0.250 0.673
O2 0.237 0.750 0.166
```



No. 3
## CuHO2 (PBE)

Data for crystalline CuHO2 at its relaxed geometry.

## Properties
Total DFT energy (no corrections) in eV/atom: -3.78

```
data_CuHO2
_chemical_formula_sum 'Cu4 H4 O8'
_space_group_name_H-M_alt 'F m -3 m'
_space_group_IT_number 225
_space_group_name_Hall '-F 4 2 3'
_cell_length_a 4.951
_cell_length_b 4.951
_cell_length_c 4.951
_cell_angle_alpha 90.00
_cell_angle_beta 90.00
_cell_angle_gamma 90.00
loop_
_atom_site_label
_atom_site_fract_x
_atom_site_fract_y
_atom_site_fract_z
Cu1 0.000 0.000 0.000
H1 0.000 0.000 0.500
O1 0.250 0.250 0.250
```



No. 4
## CuHO (PBE)

Data for crystalline CuHO at its relaxed geometry.

## Properties
Total DFT energy (no corrections) in eV/atom: -4.68

```
data_CuHO
_chemical_formula_sum 'Cu4 H4 O4'
_space_group_name_H-M_alt 'C m c 21'
_space_group_IT_number 36
_cell_length_a 3.748
_cell_length_b 7.965
_cell_length_c 4.006
_cell_angle_alpha 90.00
_cell_angle_beta 90.00
_cell_angle_gamma 90.00
loop_
_space_group_symop_operation_xyz
'x,y,z'
'-x,-y,z+1/2'
'-x,y,z'
'x,-y,z+1/2'
'x+1/2,y+1/2,z'
'-x+1/2,-y+1/2,z+1/2'
'-x+1/2,y+1/2,z'
'x+1/2,-y+1/2,z+1/2'
loop_
_atom_site_label
_atom_site_fract_x
_atom_site_fract_y
_atom_site_fract_z
Cu1 0.000 0.135 0.000
H1 0.000 0.460 0.783
O1 0.000 0.377 0.597
```



No. 5
## CuHO2 (PBE)

Data for crystalline CuHO2 at its relaxed geometry.

## Properties
Total DFT energy (no corrections) in eV/atom: -4.99

```
data_CuHO2
_chemical_formula_sum 'Cu2 H2 O4'
_space_group_name_H-M_alt 'P m n 21'
_space_group_IT_number 31
_cell_length_a 2.785
_cell_length_b 5.961
_cell_length_c 4.406
_cell_angle_alpha 90.00
_cell_angle_beta 90.00
_cell_angle_gamma 90.00
loop_
_space_group_symop_operation_xyz
'x,y,z'
'-x+1/2,-y,z+1/2'
'-x,y,z'
'x+1/2,-y,z+1/2'
loop_
_atom_site_label
_atom_site_fract_x
_atom_site_fract_y
_atom_site_fract_z
Cu1 0.000 0.236 0.000
H1 0.000 0.744 0.040
O1 0.000 0.659 0.253
O2 0.000 0.855 0.748
```



No. 6
## Cu3HO (PBE)

Data for crystalline Cu3HO at its relaxed geometry.

## Properties
Total DFT energy (no corrections) in eV/atom: -3.93

```
data_Cu3HO
_chemical_formula_sum 'Cu3 H1 O1'
_space_group_name_H-M_alt 'P m -3 m'
_space_group_IT_number 221
_space_group_name_Hall '-P 4 2 3'
_cell_length_a 3.614
_cell_length_b 3.614
_cell_length_c 3.614
_cell_angle_alpha 90.00
_cell_angle_beta 90.00
_cell_angle_gamma 90.00
loop_
_atom_site_label
_atom_site_fract_x
_atom_site_fract_y
_atom_site_fract_z
Cu1 0.000 0.000 0.500
H1 0.000 0.000 0.000
O1 0.500 0.500 0.500
```



No. 7
## CuH3O3 (PBE)

Data for crystalline CuH3O3 at its relaxed geometry.

## Properties
Total DFT energy (no corrections) in eV/atom: -4.77

```
data_CuH3O3
_chemical_formula_sum 'Cu2 H6 O6'
_space_group_name_H-M_alt 'P 63/m'
_space_group_IT_number 176
_space_group_name_Hall '-P 6c'
_cell_length_a 7.1860
_cell_length_b 7.1860
_cell_length_c 2.7921
_cell_angle_alpha 90.00
_cell_angle_beta 90.00
_cell_angle_gamma 120.00
loop_
_atom_site_label
_atom_site_fract_x
_atom_site_fract_y
_atom_site_fract_z
Cu1 0.3333 0.6667 0.2500
H1 0.0829 0.7350 0.7500
O1 0.1868 0.4286 0.7500
```



No. 8
## CuHO2 (PBE)

Data for crystalline CuHO2 at its relaxed geometry.

## Properties
Total DFT energy (no corrections) in eV/atom: -4.34

```
data_CuHO2
_chemical_formula_sum 'Cu4 H4 O8'
_space_group_name_H-M_alt 'I -4 2 d'
_space_group_IT_number 122
_space_group_name_Hall 'I -4 2bw'
_cell_length_a 4.152
_cell_length_b 4.152
_cell_length_c 7.426
_cell_angle_alpha 90.00
_cell_angle_beta 90.00
_cell_angle_gamma 90.00
loop_
_atom_site_label
_atom_site_fract_x
_atom_site_fract_y
_atom_site_fract_z
Cu1 0.000 0.000 0.000
H1 0.000 0.000 0.500
O1 0.192 0.250 0.625
```



No. 9
## CuH2O (PBE)

Data for crystalline CuH2O at its relaxed geometry.

## Properties
Total DFT energy (no corrections) in eV/atom: -3.26

```
data_CuH2O
_chemical_formula_sum 'Cu4 H8 O4'
_space_group_name_H-M_alt 'F m -3 m'
_space_group_IT_number 225
_space_group_name_Hall '-F 4 2 3'
_cell_length_a 4.670
_cell_length_b 4.670
_cell_length_c 4.670
_cell_angle_alpha 90.00
_cell_angle_beta 90.00
_cell_angle_gamma 90.00
loop_
_atom_site_label
_atom_site_fract_x
_atom_site_fract_y
_atom_site_fract_z
Cu1 0.000 0.000 0.000
H1 0.250 0.250 0.250
O1 0.000 0.000 0.500
```



No. 10
## CuHO2 (PBE)

Data for crystalline CuHO2 at its relaxed geometry.

## Properties
Total DFT energy (no corrections) in eV/atom: -4.91

```
data_CuHO2
_chemical_formula_sum 'Cu4 H4 O8'
_space_group_name_H-M_alt 'P n a 21'
_space_group_IT_number 33
_cell_length_a 5.508
_cell_length_b 7.843
_cell_length_c 3.593
_cell_angle_alpha 90.00
_cell_angle_beta 90.00
_cell_angle_gamma 90.00
loop_
_space_group_symop_operation_xyz
'x,y,z'
'-x,-y,z+1/2'
'-x+1/2,y+1/2,z+1/2'
'x+1/2,-y+1/2,z'
loop_
_atom_site_label
_atom_site_fract_x
_atom_site_fract_y
_atom_site_fract_z
Cu1 0.034 0.138 0.000
H1 0.011 0.570 0.717
O1 0.055 0.898 0.998
O2 0.061 0.634 0.492
```



No. 11
## CuHO2 (PBE)

Data for crystalline CuHO2 at its relaxed geometry.

## Properties
Total DFT energy (no corrections) in eV/atom: -4.98

```
data_CuHO2
_chemical_formula_sum 'Cu2 H2 O4'
_space_group_name_H-M_alt 'C 1 2/m 1'
_space_group_IT_number 12
_cell_length_a 6.480
_cell_length_b 2.781
_cell_length_c 4.427
_cell_angle_alpha 90.00
_cell_angle_beta 98.53
_cell_angle_gamma 90.00
loop_
_space_group_symop_operation_xyz
'x,y,z'
'-x,-y,-z'
'-x,y,-z'
'x,-y,z'
'x+1/2,y+1/2,z'
'-x+1/2,-y+1/2,-z'
'-x+1/2,y+1/2,-z'
'x+1/2,-y+1/2,z'
loop_
_atom_site_label
_atom_site_fract_x
_atom_site_fract_y
_atom_site_fract_z
Cu1 0.000 0.000 0.000
H1 0.000 0.500 0.500
O1 0.079 0.500 0.765
```



No. 12
## CuHO (PBE)

Data for crystalline CuHO at its relaxed geometry.

## Properties
Total DFT energy (no corrections) in eV/atom: -4.71

```
data_CuHO
_chemical_formula_sum 'Cu4 H4 O4'
_space_group_name_H-M_alt 'P n m a'
_space_group_IT_number 62
_cell_length_a 2.809
_cell_length_b 3.661
_cell_length_c 11.721
_cell_angle_alpha 90.00
_cell_angle_beta 90.00
_cell_angle_gamma 90.00
loop_
_space_group_symop_operation_xyz
'x,y,z'
'-x,-y,-z'
'-x+1/2,-y,z+1/2'
'x+1/2,y,-z+1/2'
'x+1/2,-y+1/2,-z+1/2'
'-x+1/2,y+1/2,z+1/2'
'-x,y+1/2,-z'
'x,-y+1/2,z'
loop_
_atom_site_label
_atom_site_fract_x
_atom_site_fract_y
_atom_site_fract_z
Cu1 0.242 0.250 0.156
H1 0.123 0.750 0.417
O1 0.202 0.250 0.615
```